The following is a DFT calculation (PBE) of FeIrOsRh2 after structural relaxation.

Properties
* energy of formation from the pure elements: 1.5350 eV/atom

Unit cell a=4.349 b=4.342 c=4.349 alpha=90.00 beta=90.00 gamma=90.00
Positions (direct):
Fe 0.000 0.000 0.000
Rh 0.000 0.000 0.500
Rh 0.500 0.000 0.000
Os 0.000 0.500 0.000
Ir 0.500 0.500 0.500



The following is a DFT calculation (PBE) of BeSi4Rh after structural relaxation.

Properties
* E_form (uncorrected): 0.521 eV per atom

Unit cell a=4.912 b=4.912 c=4.912 alpha=60.00 beta=60.00 gamma=60.00
Positions (direct):
Si 0.376 0.873 0.376
Si 0.376 0.376 0.873
Si 0.376 0.376 0.376
Si 0.873 0.376 0.376
Rh 0.000 0.000 0.000
Be 0.750 0.750 0.750



The following is a DFT calculation (PBE) of Ti3SnAs after structural relaxation.

Properties
* energy above the most stable polymorph in this dataset: 0.0 meV per atom
* energy of formation from the pure elements: -0.2850 eV/atom

Unit cell a=4.804 b=6.735 c=6.746 alpha=86.11 beta=90.00 gamma=110.90
Positions (direct):
As 0.851 0.703 0.087
As 0.149 0.297 0.913
Ti 0.031 0.061 0.231
Ti 0.969 0.939 0.769
Ti 0.285 0.570 0.183
Ti 0.169 0.339 0.532
Ti 0.831 0.661 0.468
Ti 0.715 0.430 0.817
Sn 0.385 0.770 0.640
Sn 0.615 0.230 0.360



The following is a DFT calculation (PBE) of BeCrMo after structural relaxation.

Properties
* energy above the most stable polymorph in this dataset: 0.0 meV per atom
* energy of formation from the pure elements: 0.0673 eV/atom

Unit cell a=3.091 b=4.560 c=5.308 alpha=97.40 beta=106.93 gamma=90.00
Positions (direct):
Mo 0.136 0.353 0.272
Mo 0.864 0.647 0.728
Cr 0.563 0.813 0.127
Cr 0.437 0.187 0.873
Be 0.773 0.131 0.546
Be 0.227 0.869 0.454



The following is a DFT calculation (PBE) of MnCd2Ru after structural relaxation.

Properties
* energy above the most stable polymorph in this dataset: 155.2 meV per atom
* energy of formation from the pure elements: 0.3144 eV/atom

Unit cell a=6.441 b=5.003 c=2.944 alpha=90.01 beta=62.81 gamma=120.56
Positions (direct):
Ru 0.500 0.500 0.000
Mn 0.000 0.500 0.500
Cd 0.000 0.000 0.000
Cd 0.500 0.000 0.500